[1]
ScTi, optimized geometry, DFT PBE; E_form = 557 meV/atom; space-group type = P4_2/mnm (136)
1.0
5.532 0.000 0.000
0.000 5.532 0.000
0.000 0.000 5.611
Sc Ti
4 4
Direct
0.181 0.181 0.000 Sc
0.319 0.681 0.500 Sc
0.681 0.319 0.500 Sc
0.819 0.819 0.000 Sc
0.168 0.168 0.500 Ti
0.332 0.668 0.000 Ti
0.668 0.332 0.000 Ti
0.832 0.832 0.500 Ti

[2]
AgPb2Br, optimized geometry, DFT PBE; energy relative to the elements, uncorrected = -52 meV per atom; space-group type = Imm2 (44)
1.0
-1.731 2.589 6.353
1.731 -2.589 6.353
1.731 2.589 -6.353
Ag Pb Br
1 2 1
Direct
0.000 0.000 0.000 Ag
0.551 0.551 0.000 Pb
0.796 0.296 0.500 Pb
0.260 0.760 0.500 Br

[3]
K2BeBH, optimized geometry, DFT PBE; space-group type = P4/mmm (123)
1.0
5.949 0.000 0.000
0.000 5.949 0.000
0.000 0.000 3.034
K Be B H
2 1 1 1
Direct
0.000 0.500 0.000 K
0.500 0.000 0.000 K
0.000 0.000 0.500 Be
0.500 0.500 0.500 B
0.500 0.500 0.000 H

[4]
Mg2TiV, optimized geometry, DFT PBE; E_form = 428 meV/atom; space-group type = Fm-3m (225)
1.0
0.000 3.330 3.330
3.330 0.000 3.330
3.330 3.330 0.000
Mg Ti V
2 1 1
Direct
0.250 0.250 0.250 Mg
0.750 0.750 0.750 Mg
0.000 0.000 0.000 Ti
0.500 0.500 0.500 V

[5]
CsGeB, optimized geometry, DFT PBE; E_form = 359 meV/atom; space-group type = Pnma (62)
1.0
15.373 0.000 0.000
0.000 4.203 0.000
0.000 0.000 5.986
Cs Ge B
4 4 4
Direct
0.135 0.250 0.000 Cs
0.365 0.750 0.500 Cs
0.635 0.250 0.500 Cs
0.865 0.750 0.000 Cs
0.112 0.750 0.499 Ge
0.388 0.250 0.999 Ge
0.612 0.750 0.001 Ge
0.888 0.250 0.501 Ge
0.000 0.000 0.500 B
0.000 0.500 0.500 B
0.500 0.000 0.000 B
0.500 0.500 0.000 B

[6]
LiAcTeO6, optimized geometry, DFT PBE; energy relative to the elements, uncorrected = -1626 meV per atom; space-group type = P312 (149)
1.0
5.395 0.000 0.000
-2.698 4.673 0.000
0.000 0.000 5.310
Li Ac Te O
1 1 1 6
Direct
0.000 0.000 0.000 Li
0.333 0.667 0.500 Ac
0.667 0.333 0.000 Te
0.364 0.050 0.209 O
0.364 0.313 0.791 O
0.687 0.050 0.791 O
0.687 0.636 0.209 O
0.950 0.313 0.209 O
0.950 0.636 0.791 O

[7]
CdIrBr2, optimized geometry, DFT PBE; energy relative to the elements, uncorrected = 385 meV per atom; space-group type = R-3m (166)
1.0
1.560 0.901 10.853
-1.560 0.901 10.853
0.000 -1.801 10.853
Cd Ir Br
1 1 2
Direct
0.000 0.000 0.000 Cd
0.500 0.500 0.500 Ir
0.427 0.427 0.427 Br
0.573 0.573 0.573 Br

[8]
Mn5VOs6, optimized geometry, DFT PBE; E_form = 25 meV/atom; space-group type = Cmmm (65)
1.0
2.126 -6.378 0.000
2.126 6.378 0.000
0.000 0.000 6.012
Mn V Os
5 1 6
Direct
0.000 0.000 0.000 Mn
0.333 0.667 0.500 Mn
0.334 0.666 0.000 Mn
0.666 0.334 0.000 Mn
0.667 0.333 0.500 Mn
0.000 0.000 0.500 V
0.167 0.833 0.250 Os
0.167 0.833 0.750 Os
0.500 0.500 0.250 Os
0.500 0.500 0.750 Os
0.833 0.167 0.250 Os
0.833 0.167 0.750 Os

[9]
TbSn6Pt, optimized geometry, DFT PBE; E_form = -267 meV/atom; space-group type = C2/m (12)
1.0
3.157 -5.502 0.000
3.157 5.502 0.000
-2.628 0.000 5.988
Tb Sn Pt
1 6 1
Direct
0.000 0.000 0.000 Tb
0.120 0.664 0.251 Sn
0.336 0.880 0.749 Sn
0.454 0.454 0.728 Sn
0.546 0.546 0.272 Sn
0.664 0.120 0.251 Sn
0.880 0.336 0.749 Sn
0.000 0.000 0.500 Pt

[10]
Sm4CoRhCl2, optimized geometry, DFT PBE; energy relative to the elements, uncorrected = -1010 meV per atom; space-group type = P2/m (10)
1.0
6.893 0.000 0.000
0.000 3.965 0.000
-2.267 0.000 7.491
Sm Co Rh Cl
4 1 1 2
Direct
0.223 0.000 0.200 Sm
0.257 0.500 0.796 Sm
0.743 0.500 0.204 Sm
0.777 0.000 0.800 Sm
0.000 0.500 0.000 Co
0.500 0.000 0.000 Rh
0.000 0.000 0.500 Cl
0.500 0.500 0.500 Cl

[11]
CdAsPd2, optimized geometry, DFT PBE; E_form = -128 meV/atom; space-group type = I-42d (122)
1.0
-3.620 3.620 2.845
3.620 -3.620 2.845
3.620 3.620 -2.845
Cd As Pd
2 2 4
Direct
0.000 0.000 0.000 Cd
0.750 0.250 0.500 Cd
0.250 0.750 0.500 As
0.500 0.500 0.000 As
0.166 0.625 0.041 Pd
0.375 0.416 0.541 Pd
0.584 0.125 0.959 Pd
0.875 0.834 0.459 Pd

[12]
CsKI, optimized geometry, DFT PBE; energy relative to the elements, uncorrected = -925 meV per atom; space-group type = I4mm (107)
1.0
-2.295 2.295 8.704
2.295 -2.295 8.704
2.295 2.295 -8.704
Cs K I
1 1 1
Direct
0.000 0.000 0.000 Cs
0.252 0.252 0.000 K
0.636 0.636 0.000 I

[13]
Cs4PaPb3O12, optimized geometry, DFT PBE; energy relative to the elements, uncorrected = -1325 meV per atom; space-group type = Im-3m (229)
1.0
-4.453 4.453 4.453
4.453 -4.453 4.453
4.453 4.453 -4.453
Cs Pa Pb O
4 1 3 12
Direct
0.000 0.000 0.500 Cs
0.000 0.500 0.000 Cs
0.500 0.000 0.000 Cs
0.500 0.500 0.500 Cs
0.000 0.000 0.000 Pa
0.000 0.500 0.500 Pb
0.500 0.000 0.500 Pb
0.500 0.500 0.000 Pb
0.000 0.244 0.244 O
0.000 0.756 0.756 O
0.244 0.000 0.244 O
0.244 0.244 0.000 O
0.250 0.500 0.750 O
0.250 0.750 0.500 O
0.500 0.250 0.750 O
0.500 0.750 0.250 O
0.750 0.250 0.500 O
0.750 0.500 0.250 O
0.756 0.000 0.756 O
0.756 0.756 0.000 O

[14]
Pu2HRh4, optimized geometry, DFT PBE; space-group type = Cmmm (65)
1.0
2.041 -6.384 0.000
2.041 6.384 0.000
0.000 0.000 4.113
Pu H Rh
2 1 4
Direct
0.156 0.844 0.000 Pu
0.844 0.156 0.000 Pu
0.500 0.500 0.500 H
0.000 0.000 0.500 Rh
0.335 0.665 0.500 Rh
0.500 0.500 0.000 Rh
0.665 0.335 0.500 Rh

[15]
GdMgAu, optimized geometry, DFT PBE; E_form = -528 meV/atom; space-group type = P-6m2 (187)
1.0
4.770 0.000 0.000
-2.385 4.131 0.000
0.000 0.000 3.563
Gd Mg Au
1 1 1
Direct
0.000 0.000 0.000 Gd
0.667 0.333 0.500 Mg
0.333 0.667 0.500 Au

[16]
GePOs2F, optimized geometry, DFT PBE; energy relative to the elements, uncorrected = 966 meV per atom; space-group type = P4/mmm (123)
1.0
4.346 0.000 0.000
0.000 4.346 0.000
0.000 0.000 5.165
Ge P Os F
1 1 2 1
Direct
0.000 0.000 0.000 Ge
0.000 0.000 0.500 P
0.000 0.500 0.500 Os
0.500 0.000 0.500 Os
0.500 0.500 0.000 F

[17]
MnBe6Ni, optimized geometry, DFT PBE; E_form = 74 meV/atom; space-group type = Pm-3 (200)
1.0
4.139 0.000 0.000
0.000 4.139 0.000
0.000 0.000 4.139
Mn Be Ni
1 6 1
Direct
0.000 0.000 0.000 Mn
0.000 0.245 0.500 Be
0.000 0.755 0.500 Be
0.245 0.500 0.000 Be
0.500 0.000 0.245 Be
0.500 0.000 0.755 Be
0.755 0.500 0.000 Be
0.500 0.500 0.500 Ni

[18]
LiMg2InNi, optimized geometry, DFT PBE; E_form = -38 meV/atom; space-group type = P4/mmm (123)
1.0
4.848 0.000 0.000
0.000 4.848 0.000
0.000 0.000 4.888
Li Mg In Ni
1 2 1 1
Direct
0.000 0.000 0.000 Li
0.000 0.500 0.500 Mg
0.500 0.000 0.500 Mg
0.500 0.500 0.000 In
0.500 0.500 0.500 Ni

[19]
AcPrNd2, optimized geometry, DFT PBE; E_form = 25 meV/atom; space-group type = P4/mmm (123)
1.0
3.792 0.000 0.000
0.000 3.792 0.000
0.000 0.000 10.534
Ac Pr Nd
1 1 2
Direct
0.000 0.000 0.000 Ac
0.000 0.000 0.500 Pr
0.500 0.500 0.260 Nd
0.500 0.500 0.740 Nd

[20]
AgP2Cl, optimized geometry, DFT PBE; energy relative to the elements, uncorrected = 617 meV per atom; space-group type = F-43m (216)
1.0
0.000 3.273 3.273
3.273 0.000 3.273
3.273 3.273 0.000
Ag P Cl
1 2 1
Direct
0.000 0.000 0.000 Ag
0.250 0.250 0.250 P
0.500 0.500 0.500 P
0.750 0.750 0.750 Cl

[21]
Pm6DyY8, optimized geometry, DFT PBE; E_form = 119 meV/atom; space-group type = R-3 (148)
1.0
4.565 2.636 6.989
-4.565 2.636 6.989
0.000 -5.272 6.989
Pm Dy Y
6 1 8
Direct
0.039 0.604 0.728 Pm
0.272 0.961 0.396 Pm
0.396 0.272 0.961 Pm
0.604 0.728 0.039 Pm
0.728 0.039 0.604 Pm
0.961 0.396 0.272 Pm
0.500 0.500 0.500 Dy
0.077 0.077 0.077 Y
0.218 0.611 0.249 Y
0.249 0.218 0.611 Y
0.389 0.751 0.782 Y
0.611 0.249 0.218 Y
0.751 0.782 0.389 Y
0.782 0.389 0.751 Y
0.923 0.923 0.923 Y

[22]
Mg5Mn, optimized geometry, DFT PBE; E_form = 283 meV/atom; space-group type = F-43m (216)
1.0
0.000 4.050 4.050
4.050 0.000 4.050
4.050 4.050 0.000
Mg Mn
5 1
Direct
0.000 0.000 0.000 Mg
0.127 0.624 0.624 Mg
0.624 0.127 0.624 Mg
0.624 0.624 0.127 Mg
0.624 0.624 0.624 Mg
0.250 0.250 0.250 Mn

[23]
V3BMo, optimized geometry, DFT PBE; E_form = 5 meV/atom; space-group type = P4/mbm (127)
1.0
5.573 0.000 0.000
0.000 5.573 0.000
0.000 0.000 4.209
V B Mo
6 2 2
Direct
0.000 0.000 0.000 V
0.186 0.314 0.500 V
0.314 0.814 0.500 V
0.500 0.500 0.000 V
0.686 0.186 0.500 V
0.814 0.686 0.500 V
0.000 0.000 0.500 B
0.500 0.500 0.500 B
0.000 0.500 0.000 Mo
0.500 0.000 0.000 Mo

[24]
LaIrRh2, optimized geometry, DFT PBE; E_form = -161 meV/atom; space-group type = Pm (6)
1.0
2.967 0.000 0.000
0.000 4.628 0.000
-0.734 0.000 5.219
La Ir Rh
1 1 2
Direct
0.000 0.000 0.000 La
0.145 0.500 0.618 Ir
0.533 0.500 0.193 Rh
0.565 0.000 0.509 Rh

[25]
Pd4Au5, optimized geometry, DFT PBE; E_form = -77 meV/atom; space-group type = I4/mmm (139)
1.0
-4.346 4.346 2.001
4.346 -4.346 2.001
4.346 4.346 -2.001
Pd Au
4 5
Direct
0.167 0.167 0.334 Pd
0.167 0.833 0.000 Pd
0.833 0.167 0.000 Pd
0.833 0.833 0.666 Pd
0.171 0.500 0.671 Au
0.500 0.171 0.671 Au
0.500 0.500 0.000 Au
0.500 0.829 0.329 Au
0.829 0.500 0.329 Au

Number 1: total DFT energy (no corrections) -13.11 eV/f.u., DOS at the Fermi energy 0.925 states/eV/atom, total magnetization 0.33 μB per atom. Number 2: total DFT energy (no corrections) -12.15 eV/f.u., DOS at the Fermi energy 0.503 states/eV/atom, total magnetization 0.00 μB per atom. Number 3: total DFT energy (no corrections) -10.43 eV/f.u., DOS at the Fermi energy 0.732 states/eV/atom, total magnetization 0.00 μB per atom. Number 4: total DFT energy (no corrections) -18.49 eV/f.u., DOS at the Fermi energy 1.052 states/eV/atom, total magnetization 0.50 μB per atom. Number 5: total DFT energy (no corrections) -11.07 eV/f.u., DOS at the Fermi energy 0.470 states/eV/atom, total magnetization 0.00 μB per atom. Number 6: total DFT energy (no corrections) -53.54 eV/f.u., DOS at the Fermi energy 0.641 states/eV/atom, total magnetization 0.22 μB per atom. Number 7: total DFT energy (no corrections) -11.58 eV/f.u., DOS at the Fermi energy 0.990 states/eV/atom, total magnetization 0.00 μB per atom. Number 8: total DFT energy (no corrections) -122.04 eV/f.u., DOS at the Fermi energy 0.569 states/eV/atom, total magnetization 1.31 μB per atom. Number 9: total DFT energy (no corrections) -36.82 eV/f.u., DOS at the Fermi energy 0.453 states/eV/atom, total magnetization 0.00 μB per atom. Number 10: total DFT energy (no corrections) -45.11 eV/f.u., DOS at the Fermi energy 0.227 states/eV/atom, total magnetization 0.00 μB per atom. Number 11: total DFT energy (no corrections) -16.46 eV/f.u., DOS at the Fermi energy 0.711 states/eV/atom, total magnetization 0.00 μB per atom. Number 12: total DFT energy (no corrections) -6.28 eV/f.u., DOS at the Fermi energy 0.359 states/eV/atom, total magnetization 0.00 μB per atom. Number 13: total DFT energy (no corrections) -110.03 eV/f.u., DOS at the Fermi energy 0.771 states/eV/atom, total magnetization 0.16 μB per atom. Number 14: total DFT energy (no corrections) -64.10 eV/f.u., DOS at the Fermi energy 2.788 states/eV/atom, total magnetization 1.22 μB per atom. Number 15: total DFT energy (no corrections) -20.54 eV/f.u., DOS at the Fermi energy 0.863 states/eV/atom, total magnetization 2.45 μB per atom. Number 16: total DFT energy (no corrections) -29.53 eV/f.u., DOS at the Fermi energy 1.039 states/eV/atom, total magnetization 0.42 μB per atom. Number 17: total DFT energy (no corrections) -36.72 eV/f.u., DOS at the Fermi energy 0.442 states/eV/atom, total magnetization 0.09 μB per atom. Number 18: total DFT energy (no corrections) -13.81 eV/f.u., DOS at the Fermi energy 0.461 states/eV/atom, total magnetization 0.00 μB per atom. Number 19: total DFT energy (no corrections) -18.32 eV/f.u., DOS at the Fermi energy 1.718 states/eV/atom, total magnetization 0.00 μB per atom. Number 20: total DFT energy (no corrections) -13.05 eV/f.u., DOS at the Fermi energy 0.558 states/eV/atom, total magnetization 0.00 μB per atom. Number 21: total DFT energy (no corrections) -83.03 eV/f.u., DOS at the Fermi energy 1.551 states/eV/atom, total magnetization 0.00 μB per atom. Number 22: total DFT energy (no corrections) -15.45 eV/f.u., DOS at the Fermi energy 0.344 states/eV/atom, total magnetization 0.67 μB per atom. Number 23: total DFT energy (no corrections) -44.84 eV/f.u., DOS at the Fermi energy 0.851 states/eV/atom, total magnetization 0.00 μB per atom. Number 24: total DFT energy (no corrections) -29.14 eV/f.u., DOS at the Fermi energy 1.043 states/eV/atom, total magnetization 0.00 μB per atom. Number 25: total DFT energy (no corrections) -37.85 eV/f.u., DOS at the Fermi energy 0.400 states/eV/atom, total magnetization 0.00 μB per atom.